Density functional theory data (PBEsol) for a relaxed KScIn3 crystal.

DOS at the Fermi energy = 0.974 states/eV/atom

Cell: 5.514 5.514 5.514 Å, 90.00 90.00 90.00°
Space group Pm-3m (No. 221)
Symmetry-distinct sites (fractional):
K: 0.000 0.000 0.000 x1
Sc: 0.500 0.500 0.500 x1
In: 0.000 0.000 0.500 x3

---

Density functional theory data (PBEsol) for a relaxed K2ScIn crystal.

DOS at the Fermi energy = 0.815 states/eV/atom

Cell: 3.477 6.489 5.612 Å, 90.00 92.84 90.00°
Space group P2/m (No. 10)
Symmetry-distinct sites (fractional):
K: 0.245 0.000 0.239 x2
Sc: 0.000 0.500 0.500 x1
In: 0.500 0.500 0.000 x1

---

Density functional theory data (PBEsol) for a relaxed K2ScIn crystal.

DOS at the Fermi energy = 0.847 states/eV/atom

Cell: 4.682 4.682 6.506 Å, 90.00 90.00 90.00°
Space group P4/mmm (No. 123)
Symmetry-distinct sites (fractional):
K: 0.000 0.000 0.237 x2
Sc: 0.500 0.500 0.500 x1
In: 0.500 0.500 0.000 x1

---

| no. | energy of formation (meV/atom) |
| --- | --- |
| 1 | 1017.6 |
| 2 | 332.3 |
| 3 | 486.6 |